An optimized crystal structure of Sm4Er15Th. Source: Alexandria via LeMat-Bulk, functional PBE.

a = 5.008 Å, b = 5.008 Å, c = 24.909 Å
α = 90.00°, β = 90.00°, γ = 90.00°
Space group P4/mmm (No. 123)
Symmetry-distinct sites (fractional):
1 Sm 0.000 0.000 0.100 [2 per cell]
2 Sm 0.000 0.000 0.301 [2 per cell]
3 Er 0.000 0.500 0.000 [2 per cell]
4 Er 0.000 0.500 0.201 [4 per cell]
5 Er 0.000 0.500 0.402 [4 per cell]
6 Er 0.500 0.500 0.100 [2 per cell]
7 Er 0.500 0.500 0.300 [2 per cell]
8 Er 0.500 0.500 0.500 [1 per cell]
9 Th 0.000 0.000 0.500 [1 per cell]

Results
- Size of the total moment: 0.0 Bohr magnetons per cell
- E_form: 0.024 eV per atom